No. 1
DFT (PBE-GGA) results for a relaxed structure of RbCa3Cu4Br12.

```
RbCa3Cu4Br12
1.0
7.411 4.278 3.714
-7.411 4.278 3.714
0.000 -8.557 3.714
Rb Ca Cu Br
1 3 4 12
direct
0.000 0.000 0.000
0.000 0.560 0.440
0.440 0.000 0.560
0.560 0.440 0.000
0.071 0.500 0.929
0.500 0.500 0.500
0.500 0.929 0.071
0.929 0.071 0.500
0.017 0.646 0.767
0.094 0.906 0.500
0.233 0.354 0.983
0.341 0.659 0.500
0.354 0.983 0.233
0.500 0.094 0.906
0.500 0.341 0.659
0.646 0.767 0.017
0.659 0.500 0.341
0.767 0.017 0.646
0.906 0.500 0.094
0.983 0.233 0.354
```

Results
space-group type = No. 155
uncorrected formation energy = -1181 meV per atom
mass density = 3334 kg/m³
magnetization = 1.2 μB/cell

=====

No. 2
DFT (PBE-GGA) results for a relaxed structure of PrTmPa.

```
PrTmPa
1.0
3.444 0.000 0.000
-1.722 2.983 0.000
0.000 0.000 8.670
Pr Tm Pa
1 1 1
direct
0.000 0.000 0.000
0.333 0.667 0.638
0.667 0.333 0.327
```

Results
ΔE to the lowest computed polymorph = 0.0 meV per atom
ΔH_f (0 K) = 156 meV/atom
space-group type = No. 156
mass density = 10085 kg/m³
magnetization = 0.0 μB/cell

=====

No. 3
DFT (PBE-GGA) results for a relaxed structure of Co2CuCl.

```
Co2CuCl
1.0
-1.398 2.169 4.276
1.398 -2.169 4.276
1.398 2.169 -4.276
Co Cu Cl
2 1 1
direct
0.230 0.230 0.000
0.770 0.770 0.000
0.500 0.000 0.500
0.000 0.500 0.500
```

Results
ΔE to the lowest computed polymorph = 400.7 meV per atom
space-group type = No. 71
uncorrected formation energy = 608 meV per atom
mass density = 6947 kg/m³
magnetization = 3.2 μB/cell

=====

No. 4
DFT (PBE-GGA) results for a relaxed structure of LiLaTm2.

```
LiLaTm2
1.0
3.670 0.000 0.000
0.000 3.670 0.000
0.000 0.000 8.633
Li La Tm
1 1 2
direct
0.000 0.000 0.000
0.000 0.000 0.500
0.500 0.500 0.211
0.500 0.500 0.789
```

Results
ΔE to the lowest computed polymorph = 0.0 meV per atom
ΔH_f (0 K) = 96 meV/atom
space-group type = No. 123
mass density = 6910 kg/m³
magnetization = 0.0 μB/cell

=====

No. 5
DFT (PBE-GGA) results for a relaxed structure of EuMg2Fe.

```
EuMg2Fe
1.0
4.859 0.000 0.000
-2.430 4.208 0.000
0.000 0.000 5.098
Eu Mg Fe
1 2 1
direct
0.000 0.000 0.000
0.333 0.667 0.505
0.667 0.333 0.495
0.000 0.000 0.500
```

Results
ΔH_f (0 K) = 264 meV/atom
space-group type = No. 164
mass density = 4085 kg/m³
magnetization = 5.4 μB/cell

=====

No. 6
DFT (PBE-GGA) results for a relaxed structure of Cs2RbReO6.

```
Cs2RbReO6
1.0
6.596 0.000 0.000
3.298 5.807 0.000
3.297 1.808 5.532
Cs Rb Re O
2 1 1 6
direct
0.000 0.000 0.000
0.495 0.505 0.506
0.248 0.261 0.245
0.747 0.736 0.770
0.529 0.578 0.928
0.552 0.975 0.920
0.583 0.991 0.512
0.915 0.990 0.513
0.943 0.582 0.533
0.965 0.576 0.929
```

Results
space-group type = No. 1
uncorrected formation energy = -1460 meV per atom
mass density = 4964 kg/m³
magnetization = 2.0 μB/cell

=====

No. 7
DFT (PBE-GGA) results for a relaxed structure of YZr2Te.

```
YZr2Te
1.0
-4.306 4.306 2.966
4.306 -4.306 2.966
4.306 4.306 -2.966
Y Zr Te
2 4 2
direct
0.000 0.000 0.000
0.750 0.250 0.500
0.174 0.625 0.049
0.375 0.424 0.549
0.576 0.125 0.951
0.875 0.826 0.451
0.250 0.750 0.500
0.500 0.500 0.000
```

Results
space-group type = No. 122
uncorrected formation energy = -45 meV per atom
mass density = 6023 kg/m³
magnetization = 0.0 μB/cell

=====

No. 8
DFT (PBE-GGA) results for a relaxed structure of Ba2InHRh.

```
Ba2InHRh
1.0
7.153 0.000 0.000
0.000 4.478 0.000
-2.982 0.000 9.167
Ba In H Rh
4 2 2 2
direct
0.228 0.250 0.400
0.237 0.250 0.970
0.763 0.750 0.030
0.772 0.750 0.600
0.334 0.750 0.711
0.666 0.250 0.289
0.186 0.750 0.168
0.814 0.250 0.832
0.439 0.750 0.232
0.561 0.250 0.768
```

Results
ΔE to the lowest computed polymorph = 0.0 meV per atom
space-group type = No. 11
mass density = 5580 kg/m³
magnetization = 0.0 μB/cell

=====

No. 9
DFT (PBE-GGA) results for a relaxed structure of TiPO2F.

```
TiPO2F
1.0
3.796 0.000 0.000
0.000 3.796 0.000
0.000 0.000 4.134
Ti P O F
1 1 2 1
direct
0.000 0.000 0.000
0.500 0.500 0.500
0.000 0.500 0.500
0.500 0.000 0.500
0.500 0.500 0.000
```

Results
space-group type = No. 123
uncorrected formation energy = -877 meV per atom
mass density = 3620 kg/m³
magnetization = 2.1 μB/cell

=====

No. 10
DFT (PBE-GGA) results for a relaxed structure of SrTcN2O.

```
SrTcN2O
1.0
4.704 0.000 0.000
0.000 4.704 0.000
0.000 0.000 4.424
Sr Tc N O
1 1 2 1
direct
0.000 0.000 0.000
0.500 0.500 0.500
0.000 0.500 0.000
0.500 0.000 0.000
0.000 0.000 0.500
```

Results
space-group type = No. 123
uncorrected formation energy = 1877 meV per atom
mass density = 3894 kg/m³
magnetization = 1.0 μB/cell

=====

No. 11
DFT (PBE-GGA) results for a relaxed structure of Hf2Zr8In.

```
Hf2Zr8In
1.0
3.913 -7.065 0.000
3.913 7.065 0.000
-2.404 0.000 4.703
Hf Zr In
2 8 1
direct
0.202 0.798 0.000
0.798 0.202 0.000
0.084 0.084 0.280
0.173 0.396 0.827
0.283 0.717 0.500
0.396 0.173 0.827
0.604 0.827 0.173
0.717 0.283 0.500
0.827 0.604 0.173
0.916 0.916 0.720
0.500 0.500 0.500
```

Results
ΔH_f (0 K) = 106 meV/atom
space-group type = No. 12
mass density = 7672 kg/m³
magnetization = 0.0 μB/cell

=====

No. 12
DFT (PBE-GGA) results for a relaxed structure of DyS8I2.

```
DyS8I2
1.0
8.033 -3.066 0.000
8.033 3.066 0.000
-7.842 0.000 8.628
Dy S I
1 8 2
direct
0.000 0.000 0.000
0.143 0.621 0.731
0.282 0.282 0.725
0.379 0.857 0.269
0.479 0.479 0.163
0.521 0.521 0.837
0.621 0.143 0.731
0.718 0.718 0.275
0.857 0.379 0.269
0.126 0.126 0.898
0.874 0.874 0.102
```

Results
space-group type = No. 12
uncorrected formation energy = -86 meV per atom
mass density = 2629 kg/m³
magnetization = 0.0 μB/cell